Record 1
Compound: Rb4Ho3HfSe8
Source: Alexandria via LeMat-Bulk
Functional: GGA-PBE
Structure: optimized geometry

DOS at the Fermi energy = 0.28 states/eV per atom
Calculated total energy = -80.9 eV/cell
Crystal system = trigonal

Geometry as POSCAR:
```
Rb4Ho3HfSe8
1.0
-5.453 -0.670 6.204
6.649 -3.598 5.457
1.585 7.417 -3.341
Se Rb Hf Ho
8 4 1 3
Cartesian
-2.140 -1.395 6.388
-1.314 2.469 4.646
1.399 2.699 1.521
2.079 4.195 5.165
4.921 4.544 1.932
1.382 0.450 6.798
0.702 -1.046 3.155
4.095 0.680 3.673
-1.934 3.373 1.432
-2.727 -0.335 3.102
0.000 0.000 0.000
0.792 3.708 -1.670
3.325 -1.799 2.728
0.598 -2.134 5.830
4.117 1.910 1.058
1.391 1.575 4.160
```

Record 2
Compound: Rb3Ho3HfSe8
Source: Alexandria via LeMat-Bulk
Functional: GGA-PBE
Structure: optimized geometry

Calculated total energy = -79.5 eV/cell
Crystal system = trigonal

Geometry as POSCAR:
```
Rb3Ho3HfSe8
1.0
-5.251 3.612 5.202
-2.563 -2.366 -7.449
1.427 -6.933 6.254
Rb Se Ho Hf
3 8 3 1
Cartesian
0.000 0.000 0.000
-3.907 0.623 -1.124
-1.281 -1.183 -3.725
-2.657 -6.255 -1.750
-1.313 -5.014 2.156
-3.730 0.568 5.757
-2.349 -2.418 -0.693
-4.037 -3.269 4.700
-5.410 -4.361 0.978
-0.976 -1.326 3.029
-5.073 -0.673 1.851
-1.912 -1.661 5.728
-0.568 -4.649 -0.598
-3.193 -2.844 2.003
0.714 -3.466 3.127
```

Record 3
Compound: Rb2Ho2HfSe6
Source: Alexandria via LeMat-Bulk
Functional: GGA-PBE
Structure: optimized geometry

DOS at the Fermi energy = 0.00 states/eV per atom
Calculated total energy = -60.1 eV/cell
Crystal system = monoclinic

Geometry as POSCAR:
```
Rb2Ho2HfSe6
1.0
-5.605 -2.715 -3.252
3.302 -3.741 4.946
-4.097 5.470 5.136
Se Rb Ho Hf
6 2 2 1
Cartesian
-1.938 2.160 5.218
-4.462 -3.146 1.612
-4.545 -1.069 4.804
-1.650 -3.471 4.200
-1.855 0.083 2.026
-4.750 2.485 2.630
1.783 -3.566 3.548
-4.087 -2.890 -1.855
-4.688 -0.321 2.045
-1.712 -0.665 4.785
-2.049 2.735 2.568
```

no.,formation energy without anion corrections (eV per formula unit),magnetization (Bohr magnetons per cell)
1,-25.516,0.0
2,-25.001,0.0
3,-18.102,0.0